No. 1
5
Lattice="4.128 0.000 0.000 0.000 4.128 0.000 0.000 0.000 4.128" Properties=species:S:1:pos:R:3 comment="Re3SeN (PBE-GGA, optimized geometry)" final_energy_ev_per_atom=-9.00 relative_energy_ev_per_fu=0.000 e_form_raw_ev_per_atom=0.83 pbc="T T T"
Re 0.000 0.000 2.064
Re 0.000 2.064 0.000
Re 2.064 0.000 0.000
Se 2.064 2.064 2.064
N 0.000 0.000 0.000

=====

No. 2
9
Lattice="5.445 -2.039 0.000 5.445 2.039 0.000 -2.752 0.000 7.755" Properties=species:S:1:pos:R:3 comment="Pm3Si4Ni2 (PBE-GGA, optimized geometry)" final_energy_ev_per_atom=-6.03 relative_energy_ev_per_fu=0.453 e_form_raw_ev_per_atom=-0.75 pbc="T T T"
Pm 0.000 0.000 0.000
Pm 3.367 0.000 2.452
Pm 4.772 0.000 5.302
Si 0.293 0.000 3.184
Si 0.445 0.000 7.211
Si 7.693 0.000 0.544
Si 7.845 0.000 4.571
Ni 1.637 0.000 5.238
Ni 6.501 0.000 2.517

=====

No. 3
6
Lattice="4.413 -1.242 0.000 4.413 1.242 0.000 -4.400 0.000 5.350" Properties=species:S:1:pos:R:3 comment="V2H (PBE-GGA, optimized geometry)" final_energy_ev_per_atom=-7.16 pbc="T T T"
V -1.064 0.000 1.969
V -1.037 0.000 4.756
V 5.464 0.000 0.594
V 5.490 0.000 3.381
H 1.718 0.000 1.890
H 2.709 0.000 3.460

=====

No. 4
5
Lattice="-2.008 2.008 6.679 2.008 -2.008 6.679 2.008 2.008 -6.679" Properties=species:S:1:pos:R:3 comment="LaNb2As2 (PBE-GGA, optimized geometry)" ef_ev_per_atom=-0.84 final_energy_ev_per_atom=-7.71 relative_energy_ev_per_fu=0.000 pbc="T T T"
La 0.000 0.000 0.000
Nb 2.008 0.000 3.339
Nb 0.000 2.008 3.339
As 0.000 0.000 5.113
As 0.000 0.000 8.245

=====

No. 5
12
Lattice="6.747 0.000 0.000 0.000 6.649 0.000 -0.978 0.000 6.751" Properties=species:S:1:pos:R:3 comment="NpAsSe4 (PBE-GGA, optimized geometry)" final_energy_ev_per_atom=-5.67 e_form_raw_ev_per_atom=-0.41 pbc="T T T"
Np 0.000 0.000 0.000
Np -0.489 3.325 3.376
As 2.884 0.000 3.376
As 3.373 3.325 0.000
Se 1.042 1.377 2.194
Se 0.553 1.947 5.570
Se 1.706 4.774 1.715
Se 1.217 5.200 5.090
Se 4.551 1.450 1.661
Se 4.062 1.875 5.037
Se 5.215 4.702 1.182
Se 4.726 5.272 4.557

=====

No. 6
5
Lattice="4.732 0.000 0.000 0.000 4.732 0.000 0.000 0.000 5.174" Properties=species:S:1:pos:R:3 comment="LaY2TiO (PBE-GGA, optimized geometry)" final_energy_ev_per_atom=-7.15 e_form_raw_ev_per_atom=-1.01 pbc="T T T"
La 0.000 0.000 0.000
Y 0.000 2.366 2.587
Y 2.366 0.000 2.587
Ti 2.366 2.366 0.000
O 0.000 0.000 2.587

=====

No. 7
4
Lattice="2.769 -3.922 0.000 2.769 3.922 0.000 0.000 0.000 2.745" Properties=species:S:1:pos:R:3 comment="AgOs3 (PBE-GGA, optimized geometry)" ef_ev_per_atom=0.71 final_energy_ev_per_atom=-8.43 relative_energy_ev_per_fu=1.746 pbc="T T T"
Ag 0.000 0.000 0.000
Os 1.384 1.961 1.372
Os 1.384 -1.961 1.372
Os 2.769 0.000 0.000

=====

No. 8
10
Lattice="2.927 0.000 0.000 0.000 2.927 0.000 0.000 0.000 14.457" Properties=species:S:1:pos:R:3 comment="Ga5Co4Ru (PBE-GGA, optimized geometry)" ef_ev_per_atom=-0.28 final_energy_ev_per_atom=-5.57 pbc="T T T"
Ga 0.000 0.000 0.000
Ga 0.000 0.000 2.842
Ga 0.000 0.000 5.683
Ga 0.000 0.000 8.774
Ga 0.000 0.000 11.615
Co 1.463 1.463 1.410
Co 1.463 1.463 4.226
Co 1.463 1.463 10.231
Co 1.463 1.463 13.046
Ru 1.463 1.463 7.228

=====

No. 9
4
Lattice="5.001 0.000 0.000 0.000 5.001 0.000 0.000 0.000 5.024" Properties=species:S:1:pos:R:3 comment="CeY2Er (PBE-GGA, optimized geometry)" ef_ev_per_atom=0.07 final_energy_ev_per_atom=-5.78 relative_energy_ev_per_fu=0.047 pbc="T T T"
Ce 0.000 0.000 0.000
Y 0.000 2.500 2.512
Y 2.500 0.000 2.512
Er 2.500 2.500 0.000

=====

No. 10
4
Lattice="0.000 3.049 3.049 3.049 0.000 3.049 3.049 3.049 0.000" Properties=species:S:1:pos:R:3 comment="CrReOs2 (PBE-GGA, optimized geometry)" ef_ev_per_atom=0.44 final_energy_ev_per_atom=-10.69 relative_energy_ev_per_fu=1.477 pbc="T T T"
Cr 0.000 0.000 0.000
Re 3.049 3.049 3.049
Os 1.524 1.524 1.524
Os 4.573 4.573 4.573

=====

No. 11
12
Lattice="3.521 -6.101 0.000 3.521 6.101 0.000 -2.363 0.000 6.582" Properties=species:S:1:pos:R:3 comment="Tm6RhSe5 (PBE-GGA, optimized geometry)" final_energy_ev_per_atom=-5.86 e_form_raw_ev_per_atom=-1.56 pbc="T T T"
Tm -0.094 1.912 4.827
Tm 1.021 0.000 1.714
Tm -0.094 -1.912 4.827
Tm 4.773 1.912 1.755
Tm 3.658 0.000 4.868
Tm 4.773 -1.912 1.755
Rh -1.181 0.000 3.291
Se 3.521 3.932 0.000
Se 2.340 2.011 3.291
Se 3.521 0.000 0.000
Se 2.340 -2.011 3.291
Se 3.521 -3.932 0.000

=====

No. 12
5
Lattice="3.947 0.000 0.000 0.000 3.947 0.000 0.000 0.000 5.855" Properties=species:S:1:pos:R:3 comment="TiPdIN2 (PBE-GGA, optimized geometry)" final_energy_ev_per_atom=-4.74 relative_energy_ev_per_fu=5.469 e_form_raw_ev_per_atom=1.52 pbc="T T T"
Ti 0.000 0.000 0.000
Pd 1.973 1.973 2.927
I 1.973 1.973 0.000
N 0.000 1.973 2.927
N 1.973 0.000 2.927

=====

No. 13
5
Lattice="4.969 0.000 0.000 0.000 4.969 0.000 0.000 0.000 4.969" Properties=species:S:1:pos:R:3 comment="HoSc3Ni (PBE-GGA, optimized geometry)" ef_ev_per_atom=-0.08 final_energy_ev_per_atom=-5.95 relative_energy_ev_per_fu=0.000 pbc="T T T"
Ho 0.000 0.000 0.000
Sc 0.000 2.484 2.484
Sc 2.484 0.000 2.484
Sc 2.484 2.484 0.000
Ni 2.484 2.484 2.484

=====

No. 14
5
Lattice="5.215 0.000 0.000 0.000 5.215 0.000 0.000 0.000 5.215" Properties=species:S:1:pos:R:3 comment="CuSiPb3 (PBE-GGA, optimized geometry)" final_energy_ev_per_atom=-3.55 relative_energy_ev_per_fu=0.000 e_form_raw_ev_per_atom=0.58 pbc="T T T"
Cu 0.000 0.000 0.000
Si 2.607 2.607 2.607
Pb 0.000 0.000 2.607
Pb 0.000 2.607 0.000
Pb 2.607 0.000 0.000

=====

No. 15
5
Lattice="5.468 0.000 0.000 0.000 5.468 0.000 0.000 0.000 5.468" Properties=species:S:1:pos:R:3 comment="LaTb3Rh (PBE-GGA, optimized geometry)" ef_ev_per_atom=-0.25 final_energy_ev_per_atom=-5.49 pbc="T T T"
La 0.000 0.000 0.000
Tb 0.000 2.734 2.734
Tb 2.734 0.000 2.734
Tb 2.734 2.734 0.000
Rh 2.734 2.734 2.734

=====

No. 16
4
Lattice="0.000 3.729 3.729 3.729 0.000 3.729 3.729 3.729 0.000" Properties=species:S:1:pos:R:3 comment="CrBiBr2 (PBE-GGA, optimized geometry)" final_energy_ev_per_atom=-3.88 relative_energy_ev_per_fu=2.185 e_form_raw_ev_per_atom=0.33 pbc="T T T"
Cr 0.000 0.000 0.000
Bi 3.729 3.729 3.729
Br 1.864 1.864 1.864
Br 5.593 5.593 5.593

=====

No. 17
18
Lattice="1.719 -6.983 0.000 1.719 6.983 0.000 0.000 0.000 9.925" Properties=species:S:1:pos:R:3 comment="Nd2TcMoN5 (PBE-GGA, optimized geometry)" final_energy_ev_per_atom=-8.77 e_form_raw_ev_per_atom=-0.73 pbc="T T T"
Nd 1.719 5.246 4.963
Nd 1.719 5.098 1.254
Nd 1.719 -5.098 6.217
Nd 1.719 -5.246 0.000
Tc 1.719 4.063 8.315
Tc 1.719 -4.063 3.352
Mo 1.719 0.869 2.784
Mo 1.719 -0.869 7.747
N 1.719 6.367 8.688
N 1.719 2.827 4.544
N 1.719 2.653 1.889
N 1.719 2.097 8.194
N 1.719 0.048 1.151
N 1.719 -0.048 6.114
N 1.719 -2.097 3.231
N 1.719 -2.653 6.852
N 1.719 -2.827 9.507
N 1.719 -6.367 3.725

=====

No. 18
5
Lattice="3.398 0.000 0.000 0.000 3.398 0.000 0.000 0.000 7.207" Properties=species:S:1:pos:R:3 comment="Ti3AuC (PBE-GGA, optimized geometry)" ef_ev_per_atom=0.22 final_energy_ev_per_atom=-7.01 relative_energy_ev_per_fu=4.227 pbc="T T T"
Ti 0.000 0.000 0.000
Ti 0.000 1.699 4.966
Ti 1.699 0.000 4.966
Au 0.000 0.000 2.755
C 1.699 1.699 6.484

=====

No. 19
4
Lattice="0.000 2.933 2.933 2.933 0.000 2.933 2.933 2.933 0.000" Properties=species:S:1:pos:R:3 comment="MnZnCoW (PBE-GGA, optimized geometry)" ef_ev_per_atom=0.06 final_energy_ev_per_atom=-7.56 pbc="T T T"
Mn 0.000 0.000 0.000
Zn 4.400 4.400 4.400
Co 2.933 2.933 2.933
W 1.467 1.467 1.467

=====

No. 20
5
Lattice="4.574 0.000 0.000 0.000 4.574 0.000 0.000 0.000 4.574" Properties=species:S:1:pos:R:3 comment="Fe3AgRu (PBE-GGA, optimized geometry)" ef_ev_per_atom=1.35 final_energy_ev_per_atom=-6.15 relative_energy_ev_per_fu=0.000 pbc="T T T"
Fe 0.000 0.000 2.287
Fe 0.000 2.287 0.000
Fe 2.287 0.000 0.000
Ag 2.287 2.287 2.287
Ru 0.000 0.000 0.000

=====

No. 21
5
Lattice="5.171 0.000 0.000 0.000 5.171 0.000 0.000 0.000 5.171" Properties=species:S:1:pos:R:3 comment="CaGeS3 (PBE-GGA, optimized geometry)" final_energy_ev_per_atom=-3.57 e_form_raw_ev_per_atom=0.23 pbc="T T T"
Ca 0.000 0.000 0.000
Ge 2.585 2.585 2.585
S 0.000 0.000 2.585
S 0.000 2.585 0.000
S 2.585 0.000 0.000

=====

No. 22
5
Lattice="-2.164 2.164 6.709 2.164 -2.164 6.709 2.164 2.164 -6.709" Properties=species:S:1:pos:R:3 comment="Ag2Sb2Se (PBE-GGA, optimized geometry)" final_energy_ev_per_atom=-3.14 relative_energy_ev_per_fu=0.901 e_form_raw_ev_per_atom=0.34 pbc="T T T"
Ag 0.000 0.000 1.341
Ag 0.000 0.000 12.078
Sb 2.164 0.000 3.355
Sb 0.000 2.164 3.355
Se 0.000 0.000 6.709

=====

No. 23
4
Lattice="0.000 3.165 3.165 3.165 0.000 3.165 3.165 3.165 0.000" Properties=species:S:1:pos:R:3 comment="ScNbCoRh (PBE-GGA, optimized geometry)" ef_ev_per_atom=-0.38 final_energy_ev_per_atom=-8.09 pbc="T T T"
Sc 0.000 0.000 0.000
Nb 3.165 3.165 3.165
Co 1.583 1.583 1.583
Rh 4.748 4.748 4.748

=====

No. 24
12
Lattice="6.455 0.000 0.000 1.259 6.334 0.000 1.607 1.292 8.638" Properties=species:S:1:pos:R:3 comment="KHoMn2Cl8 (PBE-GGA, optimized geometry)" final_energy_ev_per_atom=-4.83 e_form_raw_ev_per_atom=-1.60 pbc="T T T"
K 0.000 0.000 0.000
Ho 0.804 0.646 4.319
Mn 3.812 3.134 1.866
Mn 5.509 4.492 6.772
Cl 3.437 5.732 6.219
Cl 3.066 5.435 2.401
Cl 2.782 2.321 3.950
Cl 2.552 2.140 0.091
Cl 6.769 5.486 8.546
Cl 6.540 5.304 4.687
Cl 6.256 2.191 6.237
Cl 5.885 1.894 2.418

=====

No. 25
3
Lattice="-1.656 1.656 5.795 1.656 -1.656 5.795 1.656 1.656 -5.795" Properties=species:S:1:pos:R:3 comment="HoHfCu (PBE-GGA, optimized geometry)" ef_ev_per_atom=-0.06 final_energy_ev_per_atom=-6.27 relative_energy_ev_per_fu=0.000 pbc="T T T"
Ho 0.000 0.000 0.000
Hf 0.000 0.000 3.500
Cu 0.000 0.000 7.830

=====

No. 26
5
Lattice="-2.328 2.328 6.903 2.328 -2.328 6.903 2.328 2.328 -6.903" Properties=species:S:1:pos:R:3 comment="BaLiCaAg2 (PBE-GGA, optimized geometry)" ef_ev_per_atom=-0.21 final_energy_ev_per_atom=-2.52 pbc="T T T"
Ba 0.000 0.000 0.000
Li 2.328 0.000 3.451
Ca 0.000 2.328 3.451
Ag 0.000 0.000 5.459
Ag 0.000 0.000 8.346

=====

No. 27
5
Lattice="4.405 0.000 0.000 0.000 4.405 0.000 0.000 0.000 6.180" Properties=species:S:1:pos:R:3 comment="InAs2BrF (PBE-GGA, optimized geometry)" final_energy_ev_per_atom=-3.10 relative_energy_ev_per_fu=0.000 e_form_raw_ev_per_atom=0.01 pbc="T T T"
In 0.000 0.000 0.000
As 0.000 2.202 3.090
As 2.202 0.000 3.090
Br 2.202 2.202 0.000
F 2.202 2.202 3.090